a.
The following is a PBE-GGA calculation of an optimized crystal structure of La6PrPb, from Alexandria.

a b c (Å): 6.5670 6.5708 6.5718
angles (deg): 89.98 89.96 89.91
With the nearest neighbours (Å) after each atom.
Space group P-1 (No. 2)
Unique sites:
La1 0.0005 0.2383 0.9997 (multiplicity 2)  2 La 3.13-3.44
La2 0.2386 0.5000 0.4986 (multiplicity 2)  2 La 3.13-3.43
La3 0.4990 0.9996 0.7384 (multiplicity 2)  2 La 3.13-3.44
Pr1 0.5000 0.5000 0.0000 (multiplicity 1)  12 La 3.70-3.72
Pb1 0.0000 0.0000 0.5000 (multiplicity 1)  12 La 3.63-3.64

Calculated values
Crystal system: triclinic
Size of the total moment in μB/cell: 0.00


b.
The following is a PBE-GGA calculation of an optimized crystal structure of La6PrPb, from Alexandria.

a b c (Å): 5.1306 5.1306 10.5440
angles (deg): 90.00 90.00 90.00
With the nearest neighbours (Å) after each atom.
Space group P4/mmm (No. 123)
Unique sites:
La1 0.0000 0.0000 0.0000 (multiplicity 1)  8 La 3.63, 4 Pb 3.63
La2 0.0000 0.0000 0.5000 (multiplicity 1)  4 Pr 3.63, 8 La 3.73
La3 0.0000 0.5000 0.2429 (multiplicity 4)  8 La 3.63-3.73, 2 Pb 3.63, 2 Pr 3.73
Pr1 0.5000 0.5000 0.5000 (multiplicity 1)  12 La 3.63-3.73
Pb1 0.5000 0.5000 0.0000 (multiplicity 1)  12 La 3.63

Calculated values
Crystal system: tetragonal
Size of the total moment in μB/cell: 0.00


Relative to the most stable one, in meV per atom, the structures come out at a 70; b 0.


a.
The following is a PBE-GGA calculation of an optimized crystal structure of La2PrPb2, from Alexandria.

a b c (Å): 13.3473 5.0167 11.4584
angles (deg): 90.00 115.91 90.00
With the nearest neighbours (Å) after each atom.
Space group C2/m (No. 12)
Unique sites:
La1 0.0070 0.0000 0.1760 (multiplicity 4)  6 Pb 3.40-3.65, 2 Pr 3.77
La2 0.1828 0.0000 0.5872 (multiplicity 4)  4 Pb 3.34-3.57
Pr1 0.2099 0.5000 0.8414 (multiplicity 4)  4 Pb 3.16-3.29
Pb1 0.0441 0.5000 0.3908 (multiplicity 4)  1 Pb 3.20, 1 Pr 3.27, 5 La 3.34-3.54
Pb2 0.1306 0.5000 0.0756 (multiplicity 4)  1 Pb 3.14, 3 Pr 3.16-3.29, 2 La 3.46

Calculated values
Crystal system: monoclinic
Size of the total moment in μB/cell: 0.00


b.
The following is a PBE-GGA calculation of an optimized crystal structure of La2PrPb2, from Alexandria.

a b c (Å): 8.5948 8.5948 4.6316
angles (deg): 90.00 90.00 90.00
With the nearest neighbours (Å) after each atom.
Space group P4/mbm (No. 127)
Unique sites:
La1 0.1673 0.3327 0.0000 (multiplicity 4)  6 Pb 3.34-3.49
Pr1 0.0000 0.0000 0.5000 (multiplicity 2)  4 Pb 3.35
Pb1 0.1347 0.6347 0.5000 (multiplicity 4)  1 Pb 3.28, 6 La 3.34-3.49, 2 Pr 3.35

Calculated values
Crystal system: tetragonal
Size of the total moment in μB/cell: 0.00


Relative to the most stable one, in meV per atom, the structures come out at a 87; b 0.


a.
The following is a PBE-GGA calculation of an optimized crystal structure of LaPr3Pb2, from Alexandria.

a b c (Å): 4.7342 4.7342 9.0661
angles (deg): 90.00 90.00 90.00
With the nearest neighbours (Å) after each atom.
Space group P-4m2 (No. 115)
Unique sites:
La1 0.0000 0.0000 0.0000 (multiplicity 1)  4 Pr 3.35, 4 Pb 3.49
Pr1 0.0000 0.5000 0.3510 (multiplicity 2)  5 Pb 3.31-3.40
Pr2 0.5000 0.5000 0.0000 (multiplicity 1)  4 La 3.35, 4 Pb 3.49
Pb1 0.0000 0.5000 0.7165 (multiplicity 2)  7 Pr 3.31-3.49, 2 La 3.49

Calculated values
Crystal system: tetragonal
Size of the total moment in μB/cell: 0.00


b.
The following is a PBE-GGA calculation of an optimized crystal structure of LaPr3Pb2, from Alexandria.

a b c (Å): 7.6853 15.1803 7.9120
angles (deg): 90.00 90.00 90.00
With the nearest neighbours (Å) after each atom.
Space group Ibam (No. 72)
Unique sites:
La1 0.0000 0.0000 0.0000 (multiplicity 4)  2 Pb 3.27
Pr1 0.0000 0.2115 0.2500 (multiplicity 8)  4 Pb 3.28-3.32
Pr2 0.0000 0.5000 0.2500 (multiplicity 4)  4 Pb 3.25
Pb1 0.1814 0.3573 0.0000 (multiplicity 8)  6 Pr 3.25-3.32, 1 La 3.27

Calculated values
Crystal system: orthorhombic
Size of the total moment in μB/cell: 0.04


Relative to the most stable one, in meV per atom, the structures come out at a 0; b 227.


a.
The following is a PBE-GGA calculation of an optimized crystal structure of La2Pr3Pb2, from Alexandria.

a b c (Å): 6.3203 6.5312 6.7277
angles (deg): 78.15 63.55 84.29
With the nearest neighbours (Å) after each atom.
Space group P-1 (No. 2)
Unique sites:
La1 0.2275 0.0474 0.2227 (multiplicity 2)  4 Pb 3.33-3.56, 2 La 3.52, 2 Pr 3.65-3.68
Pr1 0.0000 0.5000 0.5000 (multiplicity 1)  2 Pb 3.22
Pr2 0.3118 0.6100 0.8345 (multiplicity 2)  3 Pb 3.36-3.47, 1 La 3.68
Pb1 0.2901 0.1502 0.6939 (multiplicity 2)  4 Pr 3.22-3.47, 4 La 3.33-3.56, 1 Pb 3.55

Calculated values
Crystal system: triclinic
Size of the total moment in μB/cell: 0.00


b.
The following is a PBE-GGA calculation of an optimized crystal structure of La2Pr3Pb2, from Alexandria.

a b c (Å): 17.5135 3.6414 8.4493
angles (deg): 90.00 116.46 90.00
With the nearest neighbours (Å) after each atom.
Space group C2/m (No. 12)
Unique sites:
La1 0.1178 0.0000 0.4718 (multiplicity 4)  4 Pb 3.41-3.62, 4 Pr 3.58-3.80, 2 La 3.64
Pr1 0.0000 0.0000 0.0000 (multiplicity 2)  4 Pr 3.35-3.64, 4 Pb 3.38, 2 La 3.58
Pr2 0.2115 0.0000 0.1431 (multiplicity 4)  5 Pr 3.35-3.73, 3 Pb 3.40-3.48
Pb1 0.0792 0.5000 0.7703 (multiplicity 4)  5 Pr 3.38-3.48, 4 La 3.41-3.62, 2 Pb 3.64

Calculated values
Crystal system: monoclinic
Size of the total moment in μB/cell: 0.00


Relative to the most stable one, in meV per atom, the structures come out at a 0; b 112.


a.
The following is a PBE-GGA calculation of an optimized crystal structure of La6Pr12Pb, from Alexandria.

a b c (Å): 12.3473 12.3473 15.5715
angles (deg): 90.00 90.00 120.00
With the nearest neighbours (Å) after each atom.
Space group R-3 (No. 148, hexagonal axes)
Unique sites:
La1 0.0170 0.4239 0.1869 (multiplicity 18)  7 Pr 3.45-3.77, 1 Pb 3.55, 2 La 3.60
Pr1 0.0127 0.1778 0.3144 (multiplicity 18)  4 La 3.53-3.77, 1 Pb 3.58, 5 Pr 3.67-3.87
Pr2 0.0499 0.8491 0.9175 (multiplicity 18)  3 Pr 3.40-3.67, 3 La 3.45-3.55
Pb1 0.0000 0.0000 0.5000 (multiplicity 3)  6 La 3.55, 6 Pr 3.58

Calculated values
Crystal system: trigonal
Size of the total moment in μB/cell: 0.00


b.
The following is a PBE-GGA calculation of an optimized crystal structure of La6Pr12Pb, from Alexandria.

a b c (Å): 13.6187 13.6187 13.0780
angles (deg): 90.00 90.00 120.00
With the nearest neighbours (Å) after each atom.
Space group R-3 (No. 148, hexagonal axes)
Unique sites:
La1 0.0904 0.1816 0.2736 (multiplicity 18)  4 Pr 3.49-3.56, 1 Pb 3.65, 3 La 3.71-3.91
Pr1 0.0003 0.2582 0.5001 (multiplicity 18)  4 La 3.49-3.56, 1 Pb 3.51, 6 Pr 3.51-3.72
Pr2 0.0572 0.5287 0.6136 (multiplicity 18)  3 Pr 3.26-3.54
Pb1 0.0000 0.0000 0.5000 (multiplicity 3)  6 Pr 3.51, 6 La 3.65

Calculated values
Crystal system: trigonal
Size of the total moment in μB/cell: 0.00


Relative to the most stable one, in meV per atom, the structures come out at a 0; b 19.


a.
The following is a PBE-GGA calculation of an optimized crystal structure of La4Pr5Pb, from Alexandria.

a b c (Å): 10.8722 10.8722 6.2731
angles (deg): 90.00 90.00 90.00
With the nearest neighbours (Å) after each atom.
Space group I4mm (No. 107)
Unique sites:
La1 0.0000 0.3057 0.0000 (multiplicity 8)  3 Pr 3.39-3.61, 1 Pb 3.70
Pr1 0.0000 0.0000 0.2253 (multiplicity 2)  2 Pb 3.05-3.23, 4 Pr 3.35
Pr2 0.1884 0.1884 0.4944 (multiplicity 8)  1 Pb 3.28, 3 Pr 3.35-3.66, 2 La 3.39
Pb1 0.0000 0.0000 0.7398 (multiplicity 2)  6 Pr 3.05-3.28

Calculated values
Crystal system: tetragonal
Size of the total moment in μB/cell: 0.00


b.
The following is a PBE-GGA calculation of an optimized crystal structure of La4Pr5Pb, from Alexandria.

a b c (Å): 11.3116 11.4502 5.7532
angles (deg): 90.00 90.00 90.00
With the nearest neighbours (Å) after each atom.
Space group Pmmn (No. 59, origin choice 2)
Unique sites:
La1 0.0291 0.2500 0.2219 (multiplicity 4)  8 Pr 3.54-3.84, 2 La 3.79, 1 Pb 3.92
La2 0.2500 0.5700 0.7125 (multiplicity 4)  2 Pb 3.40-3.68, 5 Pr 3.51-3.67, 2 La 3.79
Pr1 0.0469 0.5582 0.2515 (multiplicity 8)  1 Pb 3.20, 2 Pr 3.33-3.36, 2 La 3.51-3.54
Pr2 0.2500 0.2500 0.7244 (multiplicity 2)  6 La 3.66-3.82, 4 Pr 4.02
Pb1 0.2500 0.7500 0.1827 (multiplicity 2)  4 Pr 3.20, 2 La 3.40

Calculated values
Crystal system: orthorhombic
Size of the total moment in μB/cell: 0.00


Relative to the most stable one, in meV per atom, the structures come out at a 8; b 0.


a.
The following is a PBE-GGA calculation of an optimized crystal structure of La4PtPb, from Alexandria.

a b c (Å): 8.9785 8.9785 8.9785
angles (deg): 90.00 90.00 90.00
With the nearest neighbours (Å) after each atom.
Space group F-43m (No. 216)
Unique sites:
La1 0.1248 0.1248 0.1248 (multiplicity 16)  6 La 3.17-3.18
Pt1 0.0000 0.0000 0.5000 (multiplicity 4)  12 La 3.72, 4 Pb 3.89
Pb1 0.2500 0.2500 0.7500 (multiplicity 4)  12 La 3.72, 4 Pt 3.89

Calculated values
Crystal system: cubic
Size of the total moment in μB/cell: 0.08


b.
The following is a PBE-GGA calculation of an optimized crystal structure of La4PtPb, from Alexandria.

a b c (Å): 6.3696 7.2281 8.6391
angles (deg): 90.00 96.45 90.00
With the nearest neighbours (Å) after each atom.
Space group P2_1/m (No. 11)
Unique sites:
La1 0.1175 0.2500 0.0598 (multiplicity 2)  1 Pt 2.91
La2 0.1621 0.7500 0.3697 (multiplicity 2)  1 Pt 3.03, 1 Pb 3.37
La3 0.3805 0.5084 0.7738 (multiplicity 4)  2 Pt 2.91-3.04
Pt1 0.3292 0.7500 0.0547 (multiplicity 2)  6 La 2.91-3.04
Pb1 0.2709 0.2500 0.4384 (multiplicity 2)  6 La 3.31-3.50

Calculated values
Crystal system: monoclinic
Size of the total moment in μB/cell: 0.00


Relative to the most stable one, in meV per atom, the structures come out at a 746; b 0.


a.
The following is a PBE-GGA calculation of an optimized crystal structure of LaPtPb2, from Alexandria.

a b c (Å): 4.7044 4.7044 16.6621
angles (deg): 90.00 90.00 120.00
With the nearest neighbours (Å) after each atom.
Space group R-3m (No. 166, hexagonal axes)
Unique sites:
La1 0.0000 0.0000 0.0000 (multiplicity 3)  6 Pb 3.25
Pt1 0.0000 0.0000 0.5000 (multiplicity 3)  6 Pb 2.89
Pb1 0.0000 0.0000 0.2264 (multiplicity 6)  3 Pt 2.89

Calculated values
Crystal system: trigonal
Size of the total moment in μB/cell: 0.00


b.
The following is a PBE-GGA calculation of an optimized crystal structure of LaPtPb2, from Alexandria.

a b c (Å): 4.3820 4.3820 11.4777
angles (deg): 90.00 90.00 90.00
With the nearest neighbours (Å) after each atom.
Space group I4/mmm (No. 139)
Unique sites:
La1 0.0000 0.0000 0.0000 (multiplicity 2)  4 Pt 3.10
Pt1 0.0000 0.0000 0.5000 (multiplicity 2)  4 La 3.10
Pb1 0.0000 0.5000 0.2500 (multiplicity 4)  4 Pb 3.10

Calculated values
Crystal system: tetragonal
Size of the total moment in μB/cell: 0.00


c.
The following is a PBE-GGA calculation of an optimized crystal structure of LaPtPb2, from Alexandria.

a b c (Å): 3.6185 3.6185 7.8488
angles (deg): 90.00 90.00 90.00
With the nearest neighbours (Å) after each atom.
Space group P4/mmm (No. 123)
Unique sites:
La1 0.0000 0.0000 0.0000 (multiplicity 1)  8 Pb 3.46, 4 La 3.62
Pt1 0.0000 0.0000 0.5000 (multiplicity 1)  8 Pb 3.02
Pb1 0.5000 0.5000 0.2963 (multiplicity 2)  4 Pt 3.02, 1 Pb 3.20

Calculated values
Crystal system: tetragonal
Size of the total moment in μB/cell: 0.00


d.
The following is a PBE-GGA calculation of an optimized crystal structure of LaPtPb2, from Alexandria.

a b c (Å): 4.6116 4.8973 9.2872
angles (deg): 90.00 90.00 90.00
With the nearest neighbours (Å) after each atom.
Space group Imm2 (No. 44)
Unique sites:
La1 0.0000 0.0000 0.0000 (multiplicity 2)  4 Pt 3.21-3.44, 8 Pb 3.31-3.37
Pt1 0.0000 0.5000 0.2599 (multiplicity 2)  8 Pb 3.17-3.47, 4 La 3.21-3.44
Pb1 0.0000 0.0000 0.5249 (multiplicity 2)  4 Pt 3.17-3.47, 4 Pb 3.29-3.37, 4 La 3.37
Pb2 0.0000 0.5000 0.7608 (multiplicity 2)  4 Pb 3.29-3.37, 4 La 3.31-3.34, 4 Pt 3.36

Calculated values
Crystal system: orthorhombic
Size of the total moment in μB/cell: 0.00


Relative to the most stable one, in meV per atom, the structures come out at a 0; b 133; c 231; d 46.